# 1
Material: CrFeSe2N
Method: DFT, GGA-PBE
State: relaxed

density of states at the Fermi level	0.52	states/eV/atom
volume	16.18	A^3/atom
ΔE to the lowest computed polymorph	0.00	eV/f.u.
formation energy (no corrections)	0.291	eV/atom

```
data_CrFeSe2N
_cell_length_a 4.887
_cell_length_b 4.887
_cell_length_c 3.388
_cell_angle_alpha 90.00
_cell_angle_beta 90.00
_cell_angle_gamma 90.00
_space_group_name_H-M_alt 'P 4/m m m'
_space_group_IT_number 123
_space_group_name_Hall '-P 4 2'
loop_
_atom_site_label
_atom_site_fract_x
_atom_site_fract_y
_atom_site_fract_z
Cr1 0.000 0.000 0.000
Fe1 0.500 0.500 0.500
Se1 0.000 0.500 0.500
N1 0.500 0.500 0.000
```

---

# 2
Material: CrFeSe2N
Method: DFT, GGA-PBE
State: relaxed

density of states at the Fermi level	1.71	states/eV/atom
volume	16.43	A^3/atom
ΔE to the lowest computed polymorph	1.87	eV/f.u.
formation energy (no corrections)	0.666	eV/atom

```
data_CrFeSe2N
_cell_length_a 4.869
_cell_length_b 4.869
_cell_length_c 3.464
_cell_angle_alpha 90.00
_cell_angle_beta 90.00
_cell_angle_gamma 90.00
_space_group_name_H-M_alt 'P 4/m m m'
_space_group_IT_number 123
_space_group_name_Hall '-P 4 2'
loop_
_atom_site_label
_atom_site_fract_x
_atom_site_fract_y
_atom_site_fract_z
Cr1 0.000 0.000 0.000
Fe1 0.500 0.500 0.500
Se1 0.000 0.500 0.000
N1 0.000 0.000 0.500
```

---

# 3
Material: Sm2CrFeN5
Method: DFT, GGA-PBE
State: relaxed

density of states at the Fermi level	0.38	states/eV/atom
volume	12.02	A^3/atom
formation energy (no corrections)	-0.715	eV/atom

```
data_Sm2CrFeN5
_cell_length_a 3.275
_cell_length_b 13.793
_cell_length_c 9.576
_cell_angle_alpha 90.00
_cell_angle_beta 90.00
_cell_angle_gamma 90.00
_space_group_name_H-M_alt 'C m c 21'
_space_group_IT_number 36
loop_
_space_group_symop_operation_xyz
'x,y,z'
'-x,-y,z+1/2'
'-x,y,z'
'x,-y,z+1/2'
'x+1/2,y+1/2,z'
'-x+1/2,-y+1/2,z+1/2'
'-x+1/2,y+1/2,z'
'x+1/2,-y+1/2,z+1/2'
loop_
_atom_site_label
_atom_site_fract_x
_atom_site_fract_y
_atom_site_fract_z
Sm1 0.000 0.129 0.000
Sm2 0.000 0.132 0.632
Cr1 0.000 0.429 0.777
Fe1 0.000 0.206 0.344
N1 0.000 0.054 0.365
N2 0.000 0.298 0.970
N3 0.000 0.309 0.705
N4 0.000 0.343 0.327
N5 0.000 0.492 0.625
```

---

# 4
Material: CrFe2SnN
Method: DFT, GGA-PBE
State: relaxed

density of states at the Fermi level	0.83	states/eV/atom
volume	11.81	A^3/atom
formation energy (no corrections)	-0.090	eV/atom

```
data_CrFe2SnN
_cell_length_a 3.915
_cell_length_b 3.915
_cell_length_c 3.852
_cell_angle_alpha 90.00
_cell_angle_beta 90.00
_cell_angle_gamma 90.00
_space_group_name_H-M_alt 'P 4/m m m'
_space_group_IT_number 123
_space_group_name_Hall '-P 4 2'
loop_
_atom_site_label
_atom_site_fract_x
_atom_site_fract_y
_atom_site_fract_z
Cr1 0.000 0.000 0.000
Fe1 0.000 0.500 0.500
Sn1 0.500 0.500 0.000
N1 0.000 0.000 0.500
```

---

# 5
Material: Cr2FeSnN
Method: DFT, GGA-PBE
State: relaxed

density of states at the Fermi level	0.72	states/eV/atom
volume	11.94	A^3/atom
formation energy (no corrections)	-0.121	eV/atom

```
data_Cr2FeSnN
_cell_length_a 3.913
_cell_length_b 3.913
_cell_length_c 3.899
_cell_angle_alpha 90.00
_cell_angle_beta 90.00
_cell_angle_gamma 90.00
_space_group_name_H-M_alt 'P 4/m m m'
_space_group_IT_number 123
_space_group_name_Hall '-P 4 2'
loop_
_atom_site_label
_atom_site_fract_x
_atom_site_fract_y
_atom_site_fract_z
Cr1 0.000 0.500 0.000
Fe1 0.000 0.000 0.500
Sn1 0.500 0.500 0.500
N1 0.000 0.000 0.000
```

---

# 6
Material: Cr2FeTcN
Method: DFT, GGA-PBE
State: relaxed

density of states at the Fermi level	0.74	states/eV/atom
volume	10.97	A^3/atom
formation energy (no corrections)	-0.126	eV/atom

```
data_Cr2FeTcN
_cell_length_a 3.832
_cell_length_b 3.832
_cell_length_c 3.736
_cell_angle_alpha 90.00
_cell_angle_beta 90.00
_cell_angle_gamma 90.00
_space_group_name_H-M_alt 'P 4/m m m'
_space_group_IT_number 123
_space_group_name_Hall '-P 4 2'
loop_
_atom_site_label
_atom_site_fract_x
_atom_site_fract_y
_atom_site_fract_z
Cr1 0.000 0.500 0.000
Fe1 0.000 0.000 0.500
Tc1 0.500 0.500 0.500
N1 0.000 0.000 0.000
```

---

# 7
Material: CrFe2TcN
Method: DFT, GGA-PBE
State: relaxed

density of states at the Fermi level	1.02	states/eV/atom
volume	11.02	A^3/atom
ΔE to the lowest computed polymorph	0.00	eV/f.u.
formation energy (no corrections)	-0.019	eV/atom

```
data_CrFe2TcN
_cell_length_a 3.792
_cell_length_b 3.792
_cell_length_c 3.830
_cell_angle_alpha 90.00
_cell_angle_beta 90.00
_cell_angle_gamma 90.00
_space_group_name_H-M_alt 'P 4/m m m'
_space_group_IT_number 123
_space_group_name_Hall '-P 4 2'
loop_
_atom_site_label
_atom_site_fract_x
_atom_site_fract_y
_atom_site_fract_z
Cr1 0.000 0.000 0.000
Fe1 0.000 0.500 0.500
Tc1 0.500 0.500 0.000
N1 0.000 0.000 0.500
```

---

# 8
Material: CrFe2TcN
Method: DFT, GGA-PBE
State: relaxed

density of states at the Fermi level	1.29	states/eV/atom
volume	11.15	A^3/atom
ΔE to the lowest computed polymorph	0.73	eV/f.u.
formation energy (no corrections)	0.127	eV/atom

```
data_CrFe2TcN
_cell_length_a 3.742
_cell_length_b 3.742
_cell_length_c 3.981
_cell_angle_alpha 90.00
_cell_angle_beta 90.00
_cell_angle_gamma 90.00
_space_group_name_H-M_alt 'P 4/m m m'
_space_group_IT_number 123
_space_group_name_Hall '-P 4 2'
loop_
_atom_site_label
_atom_site_fract_x
_atom_site_fract_y
_atom_site_fract_z
Cr1 0.000 0.000 0.000
Fe1 0.000 0.500 0.500
Tc1 0.500 0.500 0.000
N1 0.500 0.500 0.500
```

---

# 9
Material: CrFeTe2N
Method: DFT, GGA-PBE
State: relaxed

density of states at the Fermi level	0.93	states/eV/atom
volume	17.91	A^3/atom
ΔE to the lowest computed polymorph	0.91	eV/f.u.
formation energy (no corrections)	0.651	eV/atom

```
data_CrFeTe2N
_cell_length_a 5.151
_cell_length_b 5.151
_cell_length_c 3.375
_cell_angle_alpha 90.00
_cell_angle_beta 90.00
_cell_angle_gamma 90.00
_space_group_name_H-M_alt 'P 4/m m m'
_space_group_IT_number 123
_space_group_name_Hall '-P 4 2'
loop_
_atom_site_label
_atom_site_fract_x
_atom_site_fract_y
_atom_site_fract_z
Cr1 0.000 0.000 0.000
Fe1 0.500 0.500 0.500
Te1 0.000 0.500 0.500
N1 0.500 0.500 0.000
```

---

# 10
Material: CrFeTe2N
Method: DFT, GGA-PBE
State: relaxed

density of states at the Fermi level	1.14	states/eV/atom
volume	19.83	A^3/atom
ΔE to the lowest computed polymorph	0.00	eV/f.u.
formation energy (no corrections)	0.468	eV/atom

```
data_CrFeTe2N
_cell_length_a 5.319
_cell_length_b 5.319
_cell_length_c 3.505
_cell_angle_alpha 90.00
_cell_angle_beta 90.00
_cell_angle_gamma 90.00
_space_group_name_H-M_alt 'P 4/m m m'
_space_group_IT_number 123
_space_group_name_Hall '-P 4 2'
loop_
_atom_site_label
_atom_site_fract_x
_atom_site_fract_y
_atom_site_fract_z
Cr1 0.000 0.000 0.000
Fe1 0.500 0.500 0.500
Te1 0.000 0.500 0.000
N1 0.000 0.000 0.500
```

---

# 11
Material: VCr2FeN
Method: DFT, GGA-PBE
State: relaxed

density of states at the Fermi level	1.54	states/eV/atom
volume	12.92	A^3/atom
formation energy (no corrections)	1.155	eV/atom

```
data_VCr2FeN
_cell_length_a 4.364
_cell_length_b 4.364
_cell_length_c 3.391
_cell_angle_alpha 90.00
_cell_angle_beta 90.00
_cell_angle_gamma 90.00
_space_group_name_H-M_alt 'P 4/m m m'
_space_group_IT_number 123
_space_group_name_Hall '-P 4 2'
loop_
_atom_site_label
_atom_site_fract_x
_atom_site_fract_y
_atom_site_fract_z
V1 0.000 0.000 0.000
Cr1 0.000 0.500 0.500
Fe1 0.500 0.500 0.500
N1 0.500 0.500 0.000
```

---

# 12
Material: ZnCr2FeN
Method: DFT, GGA-PBE
State: relaxed

density of states at the Fermi level	0.91	states/eV/atom
volume	11.05	A^3/atom
formation energy (no corrections)	-0.153	eV/atom

```
data_ZnCr2FeN
_cell_length_a 3.808
_cell_length_b 3.808
_cell_length_c 3.811
_cell_angle_alpha 90.00
_cell_angle_beta 90.00
_cell_angle_gamma 90.00
_space_group_name_H-M_alt 'P 4/m m m'
_space_group_IT_number 123
_space_group_name_Hall '-P 4 2'
loop_
_atom_site_label
_atom_site_fract_x
_atom_site_fract_y
_atom_site_fract_z
Zn1 0.000 0.000 0.000
Cr1 0.000 0.500 0.500
Fe1 0.500 0.500 0.000
N1 0.500 0.500 0.500
```

---

What is the density of states at the Fermi level in the eleventh record?
1.54 states/eV/atom